Record 1
Below is a relaxed PmY7Er3 crystal, with properties calculated at the PBE-GGA level. Values from VASP.

## Properties
The value obtained for the distance to the lowest polymorph of the same formula is 0.113 eV per atom. The calculation puts the total energy at -5.532 eV per atom. Its formation energy is 273 kJ/mol of formula units. The calculation puts the density of states at the Fermi level at 17.624 states/eV/cell. As for the space-group type: C2/m, No. 12. The density is 5.79 g cm⁻³.

Cell and atoms, written as Quantum ESPRESSO input:
```
&SYSTEM
  ibrav = 0, nat = 11, ntyp = 3
/
ATOMIC_SPECIES
Y 88.91 Y.upf
Er 167.26 Er.upf
Pm 145.00 Pm.upf
CELL_PARAMETERS angstrom
5.7839 -0.1582 -0.2026
-2.6514 7.9497 1.0145
-2.6514 -0.9430 7.9585
ATOMIC_POSITIONS crystal
Y 0.7005 0.0012 0.3996
Er 0.0000 0.2057 0.7943
Y 0.2995 0.6004 0.9988
Y 0.0000 0.5000 0.5000
Y 0.2064 0.2056 0.2056
Y 0.2995 0.9988 0.6004
Er 0.5000 0.0000 0.0000
Er 0.0000 0.7943 0.2057
Y 0.7005 0.3996 0.0012
Pm 0.5000 0.5000 0.5000
Y 0.7936 0.7944 0.7944
```


Record 2
Below is a relaxed Pm4YEr crystal, with properties calculated at the PBE-GGA level. Values from VASP.

## Properties
The value obtained for the distance to the lowest polymorph of the same formula is 0.000 eV per atom. The calculation puts the total energy at -4.898 eV per atom. Its formation energy is 62 kJ/mol of formula units. The calculation puts the density of states at the Fermi level at 11.682 states/eV/cell. As for the space-group type: C2/m, No. 12. The density is 6.92 g cm⁻³.

Cell and atoms, written as Quantum ESPRESSO input:
```
&SYSTEM
  ibrav = 0, nat = 6, ntyp = 3
/
ATOMIC_SPECIES
Pm 145.00 Pm.upf
Y 88.91 Y.upf
Er 167.26 Er.upf
CELL_PARAMETERS angstrom
6.2565 0.4397 0.9177
3.0366 5.4878 0.9177
-0.8357 -0.5331 5.9168
ATOMIC_POSITIONS crystal
Pm 0.1619 0.1619 0.4858
Pm 0.3377 0.3377 0.9860
Pm 0.6623 0.6623 0.0140
Pm 0.8381 0.8381 0.5142
Y 0.5000 0.5000 0.5000
Er 0.0000 0.0000 0.0000
```


Record 3
Below is a relaxed PmYEr crystal, with properties calculated at the PBE-GGA level. Values from VASP.

## Properties
The value obtained for the distance to the lowest polymorph of the same formula is 0.053 eV per atom. The calculation puts the total energy at -5.197 eV per atom. Its formation energy is 18 kJ/mol of formula units. The calculation puts the density of states at the Fermi level at 10.379 states/eV/cell. As for the space-group type: P2_1/m, No. 11. The density is 6.85 g cm⁻³.

Cell and atoms, written as Quantum ESPRESSO input:
```
&SYSTEM
  ibrav = 0, nat = 6, ntyp = 3
/
ATOMIC_SPECIES
Er 167.26 Er.upf
Pm 145.00 Pm.upf
Y 88.91 Y.upf
CELL_PARAMETERS angstrom
3.5254 0.0001 -0.0406
-0.0002 5.3611 -0.0089
-1.6251 0.0172 10.3114
ATOMIC_POSITIONS crystal
Er 0.7934 0.7500 0.0835
Pm 0.9594 0.7500 0.4129
Y 0.6190 0.7500 0.7441
Er 0.2066 0.2500 0.9165
Pm 0.0406 0.2500 0.5871
Y 0.3810 0.2500 0.2559
```